The following is a DFT calculation (PBE-GGA) of a geometry-optimized NbFeAg2 structure.

Summary:
Crystal system: tetragonal
Fermi-level density of states in states/eV/f.u.: 8.20
Formation enthalpy at 0 K in eV per atom: 0.94

CIF file:
```
data_NbFeAg2
_chemical_formula_sum 'Nb4 Fe4 Ag8'
_cell_length_a 7.458
_cell_length_b 7.458
_cell_length_c 5.013
_cell_angle_alpha 90.00
_cell_angle_beta 90.00
_cell_angle_gamma 90.00
_space_group_name_H-M_alt 'I -4 2 d'
_space_group_IT_number 122
_space_group_name_Hall 'I -4 2bw'
loop_
_atom_site_label
_atom_site_type_symbol
_atom_site_fract_x
_atom_site_fract_y
_atom_site_fract_z
Nb1 Nb 0.000 0.000 0.000
Fe1 Fe 0.000 0.000 0.500
Ag1 Ag 0.210 0.250 0.625
```